First-principles (PBE-GGA) data for a geometry-optimized LiHfSc2S6 structure, as listed in Alexandria via LeMat-Bulk.

Cell: 6.432 6.432 6.958 Å, 117.47 90.01 120.00°
Positions (direct):
Li 0.000 0.000 0.000
Hf 0.508 0.016 0.524
Sc 0.191 0.383 0.574
Sc 0.696 0.392 0.087
S 0.110 0.888 0.306
S 0.298 0.889 0.803
S 0.419 0.528 0.306
S 0.590 0.505 0.802
S 0.778 0.197 0.306
S 0.915 0.213 0.802

Values from the calculation:
Total DFT energy (no corrections) (eV per atom): -6.43
Uncorrected formation energy (eV per atom): -1.50
Space-group type: No. 1

***

First-principles (PBE-GGA) data for a geometry-optimized Li2HfSc2S6 structure, as listed in Alexandria via LeMat-Bulk.

Cell: 6.369 6.369 6.507 Å, 99.42 99.42 119.73°
Positions (direct):
Li 0.167 0.833 0.000
Li 0.833 0.167 0.000
Hf 0.000 0.000 0.500
Sc 0.334 0.666 0.500
Sc 0.666 0.334 0.500
S 0.075 0.407 0.736
S 0.248 0.248 0.264
S 0.407 0.075 0.736
S 0.593 0.925 0.264
S 0.752 0.752 0.736
S 0.925 0.593 0.264

Values from the calculation:
Total DFT energy (no corrections) (eV per atom): -6.37
Uncorrected formation energy (eV per atom): -1.72
Space-group type: No. 12

***

First-principles (PBE-GGA) data for a geometry-optimized Li2HfScS4 structure, as listed in Alexandria via LeMat-Bulk.

Cell: 6.313 3.631 6.500 Å, 90.00 108.74 90.00°
Positions (direct):
Li 0.000 0.000 0.000
Li 0.500 0.500 0.000
Hf 0.000 0.500 0.500
Sc 0.500 0.000 0.500
S 0.246 0.000 0.745
S 0.249 0.500 0.255
S 0.751 0.500 0.745
S 0.754 0.000 0.255

Values from the calculation:
Total DFT energy (no corrections) (eV per atom): -6.22
Uncorrected formation energy (eV per atom): -1.64
Space-group type: No. 10